[1]
## SbPPt2 (GGA-PBEsol)

Data for a relaxed SbPPt2 crystal.

abc: 5.1651 4.5633 4.5454
angles: 69.09 55.62 55.29
Closest atoms and distances in Å follow each position.
Positions (direct):
1 Sb 0.0000 0.0000 0.0000  4 Pt 2.58, 2 P 2.72
2 P 0.5000 0.5000 0.5000  4 Pt 2.58, 2 Sb 2.72
3 Pt 0.0000 0.5000 0.5000  2 P 2.58, 2 Sb 2.58, 2 Pt 2.72
4 Pt 0.5000 0.0000 0.0000  2 P 2.58, 2 Sb 2.58, 2 Pt 2.72

SG: Fmmm
DFT total energy (eV per atom): -6.108
ΔE to the lowest computed polymorph (meV/atom): 145
Formation energy without anion corrections (meV per atom): -39



[2]
## SbPPt (GGA-PBEsol)

Data for a relaxed SbPPt crystal.

abc: 4.6243 4.6243 2.9591
angles: 90.00 90.00 120.00
Closest atoms and distances in Å follow each position.
Positions (direct):
1 Sb 0.0000 0.0000 0.0000  3 Pt 2.67, 2 Sb 2.96
2 P 0.6667 0.3333 0.5000  2 P 2.96, 6 Sb 3.05, 6 Pt 3.05
3 Pt 0.3333 0.6667 0.0000  3 Sb 2.67, 2 Pt 2.96

SG: P-6m2
DFT total energy (eV per atom): -5.386
ΔE to the lowest computed polymorph (meV/atom): 944
Formation energy without anion corrections (meV per atom): 384



[3]
## SbPPt3 (GGA-PBEsol)

Data for a relaxed SbPPt3 crystal.

abc: 4.5268 4.5268 4.5268
angles: 90.00 90.00 90.00
Closest atoms and distances in Å follow each position.
Positions (direct):
1 Sb 0.0000 0.0000 0.0000  12 Pt 3.20
2 P 0.5000 0.5000 0.5000  6 Pt 2.26
3 Pt 0.0000 0.5000 0.5000  2 P 2.26
4 Pt 0.5000 0.0000 0.5000  2 P 2.26
5 Pt 0.5000 0.5000 0.0000  2 P 2.26

SG: Pm-3m
DFT total energy (eV per atom): -6.135
Formation energy without anion corrections (meV per atom): 113



[4]
## Ti2SbPPt (GGA-PBEsol)

Data for a relaxed Ti2SbPPt crystal.

abc: 4.8454 4.8454 4.9157
angles: 90.00 90.00 90.00
Closest atoms and distances in Å follow each position.
Positions (direct):
1 Ti 0.0000 0.5000 0.0000  2 Pt 2.42
2 Ti 0.5000 0.0000 0.0000  2 Pt 2.42
3 Sb 0.0000 0.0000 0.5000  2 Pt 2.46
4 P 0.5000 0.5000 0.5000  4 Sb 3.43, 8 Ti 3.45
5 Pt 0.0000 0.0000 0.0000  4 Ti 2.42, 2 Sb 2.46

SG: P4/mmm
DFT total energy (eV per atom): -6.148
Formation energy without anion corrections (meV per atom): 644



[5]
## Sc2PPt (GGA-PBEsol)

Data for a relaxed Sc2PPt crystal.

abc: 8.5209 8.5209 8.5209
angles: 24.23 24.23 24.23
Closest atoms and distances in Å follow each position.
Positions (direct):
1 Sc 0.1011 0.1011 0.1011  1 P 2.51, 3 Pt 2.63
2 Sc 0.8989 0.8989 0.8989  1 P 2.51, 3 Pt 2.63
3 P 0.0000 0.0000 0.0000  2 Sc 2.51
4 Pt 0.5000 0.5000 0.5000  6 Sc 2.63

SG: R-3m
DFT total energy (eV per atom): -6.798
ΔE to the lowest computed polymorph (meV/atom): 1008
Formation energy (meV/atom): -307



[6]
## Sc2PPt (GGA-PBEsol)

Data for a relaxed Sc2PPt crystal.

abc: 5.5711 5.5711 5.5711
angles: 142.75 138.88 56.68
Closest atoms and distances in Å follow each position.
Positions (direct):
1 Sc 0.0000 0.0000 0.0000  4 Pt 2.65, 2 P 2.93
2 Sc 0.7343 0.2343 0.5000  4 P 2.68
3 P 0.2781 0.7781 0.5000  2 Pt 2.67, 6 Sc 2.68-2.93
4 Pt 0.4812 0.4812 0.0000  4 Sc 2.65, 2 P 2.67

SG: Imm2
DFT total energy (eV per atom): -7.575
ΔE to the lowest computed polymorph (meV/atom): 231
Formation energy (meV/atom): -1083



[7]
## Sc2PPt (GGA-PBEsol)

Data for a relaxed Sc2PPt crystal.

abc: 4.5543 4.5543 4.5543
angles: 121.00 115.25 93.36
Closest atoms and distances in Å follow each position.
Positions (direct):
1 Sc 0.2465 0.2465 0.0000  4 P 2.72-2.91, 4 Pt 2.75-2.88
2 Sc 0.7535 0.7535 0.0000  4 P 2.72-2.91, 4 Pt 2.75-2.88
3 P 0.0000 0.5000 0.5000  8 Sc 2.72-2.91
4 Pt 0.5000 0.0000 0.5000  8 Sc 2.75-2.88

SG: Immm
DFT total energy (eV per atom): -7.495
ΔE to the lowest computed polymorph (meV/atom): 310
Formation energy (meV/atom): -1004



[8]
## Sc2PPt (GGA-PBEsol)

Data for a relaxed Sc2PPt crystal.

abc: 3.9112 5.2643 5.2643
angles: 40.45 90.00 90.00
Closest atoms and distances in Å follow each position.
Positions (direct):
1 Sc 0.0000 0.0000 0.0000  3 Pt 2.70-2.89, 4 P 2.73
2 Sc 0.5000 0.2845 0.2845  3 P 2.70-2.89, 4 Pt 2.73
3 P 0.5000 0.5576 0.5576  2 Pt 2.57, 5 Sc 2.70-2.73
4 Pt 0.0000 0.7268 0.7268  2 P 2.57, 5 Sc 2.70-2.73

SG: Amm2
DFT total energy (eV per atom): -7.805
ΔE to the lowest computed polymorph (meV/atom): 0
Formation energy (meV/atom): -1314



[9]
## P2PtSe (GGA-PBEsol)

Data for a relaxed P2PtSe crystal.

abc: 4.4385 4.4385 4.4385
angles: 60.00 60.00 60.00
Closest atoms and distances in Å follow each position.
Positions (direct):
1 P 0.0000 0.0000 0.0000  4 Se 2.72, 4 P 2.72
2 P 0.2500 0.2500 0.2500  4 Pt 2.72, 4 P 2.72
3 Pt 0.5000 0.5000 0.5000  4 Se 2.72, 4 P 2.72
4 Se 0.7500 0.7500 0.7500  4 Pt 2.72, 4 P 2.72

SG: F-43m
DFT total energy (eV per atom): -5.134
Formation energy without anion corrections (meV per atom): 465



[10]
## P2PtSe (GGA-PBEsol)

Data for a relaxed P2PtSe crystal.

abc: 2.6856 2.6856 10.1599
angles: 90.00 90.00 90.00
Closest atoms and distances in Å follow each position.
Positions (direct):
1 P 0.0000 0.0000 0.1792  4 Pt 2.63, 4 P 2.69
2 P 0.0000 0.0000 0.8208  4 Pt 2.63, 4 P 2.69
3 Pt 0.5000 0.5000 0.0000  8 P 2.63, 4 Pt 2.69
4 Se 0.5000 0.5000 0.5000  4 Se 2.69

SG: P4/mmm
DFT total energy (eV per atom): -5.371
Formation energy without anion corrections (meV per atom): 228



[11]
## P2PtSe (GGA-PBEsol)

Data for a relaxed P2PtSe crystal.

abc: 4.4137 4.4137 3.3673
angles: 90.00 90.00 105.40
Closest atoms and distances in Å follow each position.
Positions (direct):
1 P 0.0000 0.5000 0.0000  2 P 2.67, 4 Se 2.78, 4 Pt 2.78
2 P 0.5000 0.0000 0.0000  2 P 2.67, 4 Se 2.78, 4 Pt 2.78
3 Pt 0.0000 0.0000 0.5000  2 Se 2.67, 8 P 2.78
4 Se 0.5000 0.5000 0.5000  2 Pt 2.67, 8 P 2.78

SG: Cmmm
DFT total energy (eV per atom): -5.136
Formation energy without anion corrections (meV per atom): 463



[12]
## SiP2Pt (GGA-PBEsol)

Data for a relaxed SiP2Pt crystal.

abc: 3.6977 3.6977 6.1131
angles: 108.01 108.01 52.82
Closest atoms and distances in Å follow each position.
Positions (direct):
1 Si 0.0000 0.0000 0.0000  1 P 2.33, 3 Pt 2.41-2.51
2 P 0.1840 0.1840 0.7366  2 P 2.27, 1 Si 2.33
3 P 0.5433 0.5433 0.4726  2 P 2.27, 1 Pt 2.34
4 Pt 0.7492 0.7492 0.2290  3 P 2.34-2.59, 3 Si 2.41-2.51

SG: Cm
DFT total energy (eV per atom): -6.297
ΔE to the lowest computed polymorph (meV/atom): 0
Formation energy without anion corrections (meV per atom): -224